[1]
Here is Nb2Te7Pd2 after structural relaxation from Alexandria via LeMat-Bulk. Energies are from GGA-PBE.

The space group is C2/m (No. 12) and the conventional cell measures 6.250, 12.546 and 7.910 Å, with angles of 90.00, 93.09 and 90.00 degrees. The asymmetric unit holds Nb at (0.000, 0.185, 0.000), Te at (0.000, 0.500, 0.500), Te at (0.201, 0.000, 0.162), Te at (0.218, 0.292, 0.263) and Pd at (0.249, 0.000, 0.818).

Its uncorrected formation energy is -224 meV/atom.

=====

[2]
Here is Mo2HIrRh after structural relaxation from Alexandria via LeMat-Bulk. Energies are from GGA-PBE.

The space group is P4/mmm (No. 123) and the conventional cell measures 3.960, 3.960 and 3.956 Å, with angles of 90.00, 90.00 and 90.00 degrees. The asymmetric unit holds Mo at (0.000, 0.500, 0.000), H at (0.000, 0.000, 0.000), Ir at (0.000, 0.000, 0.500) and Rh at (0.500, 0.500, 0.500).

As for the energy above the lowest structure with this stoichiometry: 0.042 eV per atom.

=====

| no. | total magnetization (μB per formula unit) |
| --- | --- |
| 1 | 0.0 |
| 2 | 0.0 |